Compound: Sr4CoHg
Source: the Alexandria database
Functional: PBE
Structure: optimized geometry

The structure in POSCAR format:
```
Sr4CoHg
1.0
0.0000 5.0095 5.0095
5.0095 0.0000 5.0095
5.0095 5.0095 0.0000
Sr Co Hg
4 1 1
direct
0.1247 0.1247 0.1247 Sr
0.1247 0.1247 0.6258 Sr
0.1247 0.6258 0.1247 Sr
0.6258 0.1247 0.1247 Sr
0.7500 0.7500 0.7500 Co
0.5000 0.5000 0.5000 Hg
```

calculated volume: 41.904 A^3/atom
final energy: -1.513 eV per atom

Compound: KTl3N
Source: the Alexandria database
Functional: PBE
Structure: optimized geometry

The structure in POSCAR format:
```
KTl3N
1.0
6.1615 0.0000 0.0000
0.0000 6.1615 0.0000
0.0000 0.0000 6.1615
K Tl N
1 3 1
direct
0.0000 0.0000 0.0000 K
0.0000 0.0000 0.5000 Tl
0.0000 0.5000 0.0000 Tl
0.5000 0.0000 0.0000 Tl
0.5000 0.5000 0.5000 N
```

energy relative to the elements, uncorrected: 171.7 kJ per mole of atoms
calculated volume: 46.782 A^3/atom
final energy: -1.525 eV per atom
relative energy among the computed polymorphs: 1197.1 meV/atom

Compound: CaAg2IrF8
Source: the Alexandria database
Functional: PBE
Structure: optimized geometry

The structure in POSCAR format:
```
CaAg2IrF8
1.0
4.6360 0.0000 0.0000
0.0000 7.1170 0.0000
-0.5142 0.0000 5.6736
Ca Ag Ir F
1 2 1 8
direct
0.0000 0.0000 0.0000 Ca
0.5000 0.2519 0.5000 Ag
0.5000 0.7481 0.5000 Ag
0.0000 0.5000 0.0000 Ir
0.1186 0.2842 0.8034 F
0.1186 0.7158 0.8034 F
0.3532 0.5000 0.2182 F
0.4000 0.0000 0.2427 F
0.6000 0.0000 0.7573 F
0.6468 0.5000 0.7818 F
0.8814 0.2842 0.1966 F
0.8814 0.7158 0.1966 F
```

energy relative to the elements, uncorrected: -184.4 kJ per mole of atoms
calculated volume: 15.600 A^3/atom
final energy: -4.539 eV per atom

- Look up the final energy of the third one.
  -4.539 eV per atom

- What is the formula in the first record?
  Sr4CoHg

Copy entry 3 word for word.
Compound: CaAg2IrF8
Source: the Alexandria database
Functional: PBE
Structure: optimized geometry

The structure in POSCAR format:
```
CaAg2IrF8
1.0
4.6360 0.0000 0.0000
0.0000 7.1170 0.0000
-0.5142 0.0000 5.6736
Ca Ag Ir F
1 2 1 8
direct
0.0000 0.0000 0.0000 Ca
0.5000 0.2519 0.5000 Ag
0.5000 0.7481 0.5000 Ag
0.0000 0.5000 0.0000 Ir
0.1186 0.2842 0.8034 F
0.1186 0.7158 0.8034 F
0.3532 0.5000 0.2182 F
0.4000 0.0000 0.2427 F
0.6000 0.0000 0.7573 F
0.6468 0.5000 0.7818 F
0.8814 0.2842 0.1966 F
0.8814 0.7158 0.1966 F
```

energy relative to the elements, uncorrected: -184.4 kJ per mole of atoms
calculated volume: 15.600 A^3/atom
final energy: -4.539 eV per atom

Repeat the first record exactly.
Compound: Sr4CoHg
Source: the Alexandria database
Functional: PBE
Structure: optimized geometry

The structure in POSCAR format:
```
Sr4CoHg
1.0
0.0000 5.0095 5.0095
5.0095 0.0000 5.0095
5.0095 5.0095 0.0000
Sr Co Hg
4 1 1
direct
0.1247 0.1247 0.1247 Sr
0.1247 0.1247 0.6258 Sr
0.1247 0.6258 0.1247 Sr
0.6258 0.1247 0.1247 Sr
0.7500 0.7500 0.7500 Co
0.5000 0.5000 0.5000 Hg
```

calculated volume: 41.904 A^3/atom
final energy: -1.513 eV per atom